No. 1
Computed, not measured: a relaxed SrIn2Cu crystal at the GGA-PBEsol level of DFT.

POSCAR file:
```
SrIn2Cu
1.0
-0.852 -2.877 3.322
3.928 2.119 -0.173
-4.594 3.982 2.269
Cu In Sr
1 2 1
direct
0.500 0.000 0.000 Cu
0.789 0.577 0.867 In
0.211 0.423 0.133 In
0.000 0.000 0.500 Sr
```

Calculated values
* spin magnetization: 0.00 μB per formula unit
* calculated density: 6.14 Mg/m³
* SG: C2/m, No. 12
* E_tot: -3.28 eV per atom
* D(E_F): 1.92 states/eV/f.u.
* formation energy from the elements: -244 meV/atom

---

No. 2
Computed, not measured: a relaxed NaCa2Au2 crystal at the GGA-PBEsol level of DFT.

POSCAR file:
```
NaCa2Au2
1.0
-0.418 -3.900 -0.079
2.069 -0.066 -7.715
7.668 -0.863 2.064
Na Ca Au
2 4 4
direct
0.000 0.000 0.000 Na
0.000 0.500 0.500 Na
0.500 0.165 0.665 Ca
0.500 0.665 0.835 Ca
0.500 0.835 0.335 Ca
0.500 0.335 0.165 Ca
0.000 0.372 0.872 Au
0.000 0.872 0.628 Au
0.000 0.628 0.128 Au
0.000 0.128 0.372 Au
```

Calculated values
* spin magnetization: 0.00 μB per formula unit
* calculated density: 6.59 Mg/m³
* SG: P4/mbm, No. 127
* E_tot: -3.29 eV per atom
* D(E_F): 2.53 states/eV/f.u.
* formation energy from the elements: -586 meV/atom

---

No. 3
Computed, not measured: a relaxed CaHg2Au2 crystal at the GGA-PBEsol level of DFT.

POSCAR file:
```
CaHg2Au2
1.0
-2.847 -0.887 -2.878
1.467 -3.867 -0.259
-3.498 0.472 6.299
Ca Au Hg
1 2 2
direct
0.000 0.000 0.000 Ca
0.401 0.401 0.801 Au
0.599 0.599 0.199 Au
0.250 0.750 0.500 Hg
0.750 0.250 0.500 Hg
```

Calculated values
* spin magnetization: 0.00 μB per formula unit
* calculated density: 12.24 Mg/m³
* SG: I4/mmm, No. 139
* E_tot: -2.60 eV per atom
* D(E_F): 1.81 states/eV/f.u.
* formation energy from the elements: -381 meV/atom

---

No. 4
Computed, not measured: a relaxed CuOsPt crystal at the GGA-PBEsol level of DFT.

POSCAR file:
```
CuOsPt
1.0
-2.536 -0.571 0.723
1.335 -1.656 -1.659
2.203 -3.330 5.098
Cu Os Pt
1 1 1
direct
0.000 0.000 0.997 Cu
0.333 0.667 0.673 Os
0.667 0.333 0.330 Pt
```

Calculated values
* spin magnetization: 0.00 μB per formula unit
* calculated density: 18.26 Mg/m³
* SG: P3m1, No. 156
* E_tot: -7.67 eV per atom
* D(E_F): 2.60 states/eV/f.u.
* formation energy from the elements: 165 meV/atom

---

No. 5
Computed, not measured: a relaxed PtWCl crystal at the GGA-PBEsol level of DFT.

POSCAR file:
```
PtWCl
1.0
-0.244 -3.420 2.453
2.989 -0.748 2.877
-0.875 0.408 4.104
W Pt Cl
1 1 1
direct
0.750 0.750 0.750 W
0.500 0.500 0.500 Pt
0.000 0.000 0.000 Cl
```

Calculated values
* spin magnetization: 0.00 μB per formula unit
* calculated density: 12.99 Mg/m³
* SG: F-43m, No. 216
* E_tot: -7.01 eV per atom
* relative energy among the computed polymorphs: 50.5 kJ/mol of atoms
* D(E_F): 2.67 states/eV/f.u.
* E_form (uncorrected): 0.582 eV/atom

---

No. 6
Computed, not measured: a relaxed Y3Be5 crystal at the GGA-PBEsol level of DFT.

POSCAR file:
```
Y3Be5
1.0
-4.137 0.628 1.245
1.126 -2.559 5.032
0.946 5.671 0.285
Be Y
5 3
direct
0.000 0.000 0.000 Be
0.000 0.000 0.500 Be
0.000 0.500 0.000 Be
0.500 0.216 0.216 Be
0.500 0.784 0.784 Be
0.000 0.500 0.500 Y
0.500 0.770 0.230 Y
0.500 0.230 0.770 Y
```

Calculated values
* spin magnetization: 0.00 μB per formula unit
* calculated density: 3.84 Mg/m³
* SG: Cmmm, No. 65
* E_tot: -4.80 eV per atom
* D(E_F): 4.05 states/eV/f.u.
* formation energy from the elements: 256 meV/atom

---

No. 7
Computed, not measured: a relaxed La3InCo crystal at the GGA-PBEsol level of DFT.

POSCAR file:
```
La3InCo
1.0
-2.361 3.553 -3.011
-4.242 -0.247 3.035
1.923 3.818 2.998
La Co In
3 1 1
direct
0.000 0.500 0.000 La
0.000 0.000 0.500 La
0.500 0.000 0.000 La
0.000 0.000 0.000 Co
0.500 0.500 0.500 In
```

Calculated values
* spin magnetization: 0.00 μB per formula unit
* calculated density: 6.89 Mg/m³
* SG: Pm-3m, No. 221
* E_tot: -5.63 eV per atom
* relative energy among the computed polymorphs: 0.1 kJ/mol of atoms
* D(E_F): 4.47 states/eV/f.u.
* formation energy from the elements: -278 meV/atom

---

No. 8
Computed, not measured: a relaxed PbAuSe2 crystal at the GGA-PBEsol level of DFT.

POSCAR file:
```
PbAuSe2
1.0
-1.492 -2.359 2.445
2.861 0.579 2.304
-4.137 6.149 0.592
Au Pb Se
1 1 2
direct
0.511 0.511 0.023 Au
0.299 0.799 0.598 Pb
0.985 0.985 0.971 Se
0.704 0.204 0.409 Se
```

Calculated values
* spin magnetization: 0.00 μB per formula unit
* calculated density: 9.72 Mg/m³
* SG: Imm2, No. 44
* E_tot: -3.97 eV per atom
* D(E_F): 1.63 states/eV/f.u.
* E_form (uncorrected): -0.062 eV/atom

---

No. 9
Computed, not measured: a relaxed Tl3Re crystal at the GGA-PBEsol level of DFT.

POSCAR file:
```
Tl3Re
1.0
-2.541 -0.333 -1.597
0.117 -5.288 0.915
-2.872 0.702 4.423
Re Tl
1 3
direct
0.000 0.000 0.025 Re
0.500 0.000 0.518 Tl
0.500 0.500 0.821 Tl
0.000 0.500 0.304 Tl
```

Calculated values
* spin magnetization: 0.00 μB per formula unit
* calculated density: 15.39 Mg/m³
* SG: Pmm2, No. 25
* E_tot: -4.34 eV per atom
* relative energy among the computed polymorphs: 27.9 kJ/mol of atoms
* D(E_F): 2.52 states/eV/f.u.
* formation energy from the elements: 963 meV/atom

---

No. 10
Computed, not measured: a relaxed CoBP3 crystal at the GGA-PBEsol level of DFT.

POSCAR file:
```
CoBP3
1.0
-0.766 2.634 3.209
-4.151 -0.473 -0.603
-0.017 -3.265 2.676
P B Co
3 1 1
direct
0.000 0.500 0.000 P
0.000 0.000 0.500 P
0.500 0.000 0.000 P
0.500 0.500 0.500 B
0.000 0.000 0.000 Co
```

Calculated values
* spin magnetization: 0.00 μB per formula unit
* calculated density: 3.59 Mg/m³
* SG: Pm-3m, No. 221
* E_tot: -5.18 eV per atom
* D(E_F): 3.62 states/eV/f.u.
* formation energy from the elements: 1248 meV/atom

---

No. 11
Computed, not measured: a relaxed NaSr2SiAg crystal at the GGA-PBEsol level of DFT.

POSCAR file:
```
NaSr2SiAg
1.0
-2.913 0.436 -3.709
1.553 -5.568 -1.873
-4.532 -2.368 3.282
Sr Si Ag Na
2 1 1 1
direct
0.000 0.000 0.500 Sr
0.000 0.500 0.000 Sr
0.000 0.000 0.000 Si
0.500 0.000 0.000 Ag
0.500 0.500 0.500 Na
```

Calculated values
* spin magnetization: 0.00 μB per formula unit
* calculated density: 3.17 Mg/m³
* SG: P4/mmm, No. 123
* E_tot: -2.87 eV per atom
* D(E_F): 1.17 states/eV/f.u.
* E_form (uncorrected): -0.045 eV/atom

---

No. 12
Computed, not measured: a relaxed BiS2ICl crystal at the GGA-PBEsol level of DFT.

POSCAR file:
```
BiS2ICl
1.0
-2.019 -3.850 2.843
4.394 -2.873 -0.771
2.144 2.105 4.373
I S Bi Cl
1 2 1 1
direct
0.500 0.500 0.500 I
0.000 0.000 0.500 S
0.000 0.500 0.000 S
0.000 0.000 0.000 Bi
0.500 0.000 0.000 Cl
```

Calculated values
* spin magnetization: 1.81 μB per formula unit
* calculated density: 4.94 Mg/m³
* SG: P4/mmm, No. 123
* E_tot: -3.07 eV per atom
* D(E_F): 6.70 states/eV/f.u.
* E_form (uncorrected): 0.299 eV/atom

---

Question: Which value of E_tot does entry 8 give?
Answer: -3.97 eV per atom